Th3MgO | PBE | relaxed

Unit cell a=5.0140 b=5.0140 c=5.0140 alpha=90.00 beta=90.00 gamma=90.00
Closest atoms and distances in Å follow each position.
Element x y z (fractional)
Th 0.0000 0.0000 0.5000  2 O 2.51
Th 0.0000 0.5000 0.0000  2 O 2.51
Th 0.5000 0.0000 0.0000  2 O 2.51
Mg 0.5000 0.5000 0.5000  12 Th 3.55
O 0.0000 0.0000 0.0000  6 Th 2.51

Values from the calculation:
Formation energy from raw total energies (meV per atom): -1001
N(E_F) (states/eV per cell): 5.77
Density (g cm⁻³): 9.7

---

Th4TcIr | PBE | relaxed

Unit cell a=6.4311 b=7.0156 c=7.3936 alpha=90.00 beta=90.29 gamma=90.00
Closest atoms and distances in Å follow each position.
Element x y z (fractional)
Th 0.0859 0.0010 0.2544  2 Tc 2.92-2.99, 2 Ir 2.93-2.97
Th 0.0859 0.4990 0.2544  2 Tc 2.92-2.99, 2 Ir 2.93-2.97
Th 0.3972 0.2500 0.8935  1 Tc 2.71, 1 Ir 2.85
Th 0.4062 0.7500 0.6084  1 Tc 2.79, 1 Ir 2.84
Th 0.5938 0.2500 0.3916  1 Tc 2.79, 1 Ir 2.84
Th 0.6028 0.7500 0.1065  1 Tc 2.71, 1 Ir 2.85
Th 0.9141 0.5010 0.7456  2 Tc 2.92-2.99, 2 Ir 2.93-2.97
Th 0.9141 0.9990 0.7456  2 Tc 2.92-2.99, 2 Ir 2.93-2.97
Tc 0.2098 0.2500 0.5649  6 Th 2.71-2.99
Tc 0.7902 0.7500 0.4351  6 Th 2.71-2.99
Ir 0.1990 0.7500 0.9472  6 Th 2.84-2.97
Ir 0.8010 0.2500 0.0528  6 Th 2.84-2.97

Values from the calculation:
N(E_F) (states/eV per cell): 12.53
Formation energy from the elements (meV/atom): -397
Density (g cm⁻³): 12.1

---

ZnCd2Ag | PBE | relaxed

Unit cell a=2.9800 b=4.5988 c=5.7770 alpha=90.00 beta=104.63 gamma=90.00
Closest atoms and distances in Å follow each position.
Element x y z (fractional)
Zn 0.0000 0.0000 0.0000  2 Ag 2.73, 6 Cd 2.92-3.05, 2 Zn 2.98
Cd 0.4001 0.5000 0.7936  3 Ag 2.97-3.02, 4 Zn 2.97, 6 Cd 2.98-3.27
Cd 0.7400 0.0000 0.4771  3 Zn 2.92-3.06, 6 Cd 2.98-3.27, 4 Ag 2.99
Ag 0.1340 0.5000 0.2630  2 Zn 2.73, 7 Cd 2.97-3.02, 2 Ag 2.98

Values from the calculation:
N(E_F) (states/eV per cell): 1.13
Formation energy from the elements (meV/atom): 13
Density (g cm⁻³): 8.6

---

YMnOs2 | PBE | relaxed

Unit cell a=2.7903 b=2.7903 c=28.0553 alpha=90.00 beta=90.00 gamma=120.00
Closest atoms and distances in Å follow each position.
Element x y z (fractional)
Y 0.0000 0.0000 0.0000  6 Y 2.79
Y 0.3333 0.6667 0.6667  6 Y 2.79
Y 0.6667 0.3333 0.3333  6 Y 2.79
Mn 0.0000 0.0000 0.5000  6 Os 2.56, 6 Mn 2.79
Mn 0.3333 0.6667 0.1667  6 Os 2.56, 6 Mn 2.79
Mn 0.6667 0.3333 0.8333  6 Os 2.56, 6 Mn 2.79
Os 0.0000 0.0000 0.2375  3 Mn 2.56, 6 Os 2.79
Os 0.0000 0.0000 0.7625  3 Mn 2.56, 6 Os 2.79
Os 0.3333 0.6667 0.4292  3 Mn 2.56, 6 Os 2.79
Os 0.3333 0.6667 0.9041  3 Mn 2.56, 6 Os 2.79
Os 0.6667 0.3333 0.0959  3 Mn 2.56, 6 Os 2.79
Os 0.6667 0.3333 0.5708  3 Mn 2.56, 6 Os 2.79

Values from the calculation:
N(E_F) (states/eV per cell): 11.21
Formation energy from the elements (meV/atom): 510
Excess energy over the best structure of this formula in the dataset (kJ per mole of atoms): 35.9
Density (g cm⁻³): 13.8

---

TiPb3Cl | PBE | relaxed

Unit cell a=5.4247 b=5.4247 c=5.4247 alpha=90.00 beta=90.00 gamma=90.00
Closest atoms and distances in Å follow each position.
Element x y z (fractional)
Ti 0.0000 0.0000 0.0000  12 Pb 3.84
Pb 0.0000 0.5000 0.5000  2 Cl 2.71
Pb 0.5000 0.0000 0.5000  2 Cl 2.71
Pb 0.5000 0.5000 0.0000  2 Cl 2.71
Cl 0.5000 0.5000 0.5000  6 Pb 2.71

Values from the calculation:
Formation energy from raw total energies (meV per atom): 667
N(E_F) (states/eV per cell): 5.52
Excess energy over the best structure of this formula in the dataset (kJ per mole of atoms): 56.5
Density (g cm⁻³): 7.3

---

PrMnB14 | PBE | relaxed

Unit cell a=7.4504 b=7.4504 c=7.4504 alpha=133.66 beta=86.35 gamma=111.92
Closest atoms and distances in Å follow each position.
Element x y z (fractional)
Pr 0.3777 0.1277 0.2500  6 B 2.56-2.81
Pr 0.6223 0.8723 0.7500  6 B 2.56-2.81
Mn 0.0000 0.0000 0.5000  8 B 2.21-2.43
Mn 0.0000 0.5000 0.0000  8 B 2.21-2.43
B 0.0077 0.1342 0.8734  3 B 1.71-1.73
B 0.0284 0.2032 0.3279  6 B 1.73-1.87
B 0.0284 0.7005 0.8252  6 B 1.73-1.87
B 0.0849 0.6681 0.4168  6 B 1.71-1.89
B 0.1964 0.5307 0.6657  6 B 1.83-1.89
B 0.2194 0.4996 0.3992  6 B 1.81-1.88
B 0.2194 0.8202 0.7198  6 B 1.81-1.88
B 0.2392 0.8658 0.3734  3 B 1.71-1.73
B 0.2487 0.3319 0.9168  6 B 1.71-1.89
B 0.3650 0.5307 0.8343  6 B 1.83-1.89
B 0.3754 0.2032 0.6748  6 B 1.73-1.87
B 0.3754 0.7005 0.1721  6 B 1.73-1.87
B 0.3996 0.1798 0.8992  6 B 1.81-1.88
B 0.3996 0.5004 0.2198  6 B 1.81-1.88
B 0.6004 0.4996 0.7802  6 B 1.81-1.88
B 0.6004 0.8202 0.1008  6 B 1.81-1.88
B 0.6246 0.2995 0.8279  6 B 1.73-1.87
B 0.6246 0.7968 0.3252  6 B 1.73-1.87
B 0.6350 0.4693 0.1657  6 B 1.83-1.89
B 0.7513 0.6681 0.0832  6 B 1.71-1.89
B 0.7608 0.1342 0.6266  3 B 1.71-1.73
B 0.7806 0.1798 0.2802  6 B 1.81-1.88
B 0.7806 0.5004 0.6008  6 B 1.81-1.88
B 0.8036 0.4693 0.3343  6 B 1.83-1.89
B 0.9151 0.3319 0.5832  6 B 1.71-1.89
B 0.9716 0.2995 0.1748  6 B 1.73-1.87
B 0.9716 0.7968 0.6721  6 B 1.73-1.87
B 0.9923 0.8658 0.1266  3 B 1.71-1.73

Values from the calculation:
N(E_F) (states/eV per cell): 6.06
Formation energy from the elements (meV/atom): -149
Density (g cm⁻³): 4.3

---

Hf2BeAs2 | PBE | relaxed

Unit cell a=7.0265 b=7.0265 c=3.5949 alpha=90.00 beta=90.00 gamma=90.00
Closest atoms and distances in Å follow each position.
Element x y z (fractional)
Hf 0.1484 0.3516 0.0000  6 As 2.67-2.78, 1 Hf 2.95
Hf 0.3516 0.8516 0.0000  6 As 2.67-2.78, 1 Hf 2.95
Hf 0.6484 0.1484 0.0000  6 As 2.67-2.78, 1 Hf 2.95
Hf 0.8516 0.6484 0.0000  6 As 2.67-2.78, 1 Hf 2.95
Be 0.0000 0.0000 0.5000  4 As 2.66
Be 0.5000 0.5000 0.5000  4 As 2.66
As 0.1534 0.6534 0.5000  2 Be 2.66, 6 Hf 2.67-2.78
As 0.3466 0.1534 0.5000  2 Be 2.66, 6 Hf 2.67-2.78
As 0.6534 0.8466 0.5000  2 Be 2.66, 6 Hf 2.67-2.78
As 0.8466 0.3466 0.5000  2 Be 2.66, 6 Hf 2.67-2.78

Values from the calculation:
N(E_F) (states/eV per cell): 2.94
Formation energy from the elements (meV/atom): -368
Density (g cm⁻³): 9.7

---

La2Y | PBE | relaxed

Unit cell a=13.4511 b=3.7467 c=8.7913 alpha=90.00 beta=103.70 gamma=90.00
Closest atoms and distances in Å follow each position.
Element x y z (fractional)
La 0.0275 0.0000 0.3077  5 Y 3.62-3.73, 7 La 3.63-3.78
La 0.1402 0.5000 0.0318  9 La 3.65-3.78, 3 Y 3.72-3.74
La 0.3598 0.0000 0.9682  9 La 3.65-3.78, 3 Y 3.72-3.74
La 0.4725 0.5000 0.6923  5 Y 3.62-3.73, 7 La 3.63-3.78
La 0.5275 0.5000 0.3077  5 Y 3.62-3.73, 7 La 3.63-3.78
La 0.6402 0.0000 0.0318  9 La 3.65-3.78, 3 Y 3.72-3.74
La 0.8598 0.5000 0.9682  9 La 3.65-3.78, 3 Y 3.72-3.74
La 0.9725 0.0000 0.6923  5 Y 3.62-3.73, 7 La 3.63-3.78
Y 0.1971 0.5000 0.6357  4 Y 3.58-3.75, 8 La 3.62-3.74
Y 0.3029 0.0000 0.3643  4 Y 3.58-3.75, 8 La 3.62-3.74
Y 0.6971 0.0000 0.6357  4 Y 3.58-3.75, 8 La 3.62-3.74
Y 0.8029 0.5000 0.3643  4 Y 3.58-3.75, 8 La 3.62-3.74

Values from the calculation:
N(E_F) (states/eV per cell): 22.96
Formation energy from the elements (meV/atom): 28
Excess energy over the best structure of this formula in the dataset (kJ per mole of atoms): 1.3
Density (g cm⁻³): 5.7

---

Cd3BiPb5 | PBE | relaxed

Unit cell a=6.8979 b=6.8979 c=12.3647 alpha=90.24 beta=90.24 gamma=82.68
Closest atoms and distances in Å follow each position.
Element x y z (fractional)
Cd 0.0000 0.0000 0.0000  4 Pb 2.95-3.13, 2 Cd 3.10, 2 Bi 3.28
Cd 0.0000 0.0000 0.5000  2 Bi 2.92
Cd 0.2643 0.2643 0.1191  1 Bi 3.07, 6 Pb 3.09-3.42, 1 Cd 3.10
Cd 0.3224 0.3224 0.5053  6 Pb 3.20-3.26, 1 Cd 3.34
Cd 0.6776 0.6776 0.4947  6 Pb 3.20-3.26, 1 Cd 3.34
Cd 0.7357 0.7357 0.8809  1 Bi 3.07, 6 Pb 3.09-3.42, 1 Cd 3.10
Bi 0.0253 0.0253 0.2647  2 Cd 2.92-3.07
Bi 0.9747 0.9747 0.7353  2 Cd 2.92-3.07
Pb 0.0031 0.4928 0.3277  3 Cd 3.20-3.42, 1 Bi 3.30, 3 Pb 3.36-3.58
Pb 0.2576 0.2576 0.8683  2 Cd 3.10-3.13, 5 Pb 3.22-3.39, 1 Bi 3.35
Pb 0.3236 0.6764 0.0000  3 Cd 2.95-3.28, 1 Pb 3.22
Pb 0.4904 0.4904 0.2836  3 Cd 3.09-3.26, 3 Pb 3.22-3.41
Pb 0.4928 0.0031 0.3277  3 Cd 3.20-3.42, 1 Bi 3.30, 3 Pb 3.36-3.58
Pb 0.5072 0.9969 0.6723  3 Cd 3.20-3.42, 1 Bi 3.30, 3 Pb 3.36-3.58
Pb 0.5096 0.5096 0.7164  3 Cd 3.09-3.26, 3 Pb 3.22-3.41
Pb 0.6764 0.3236 0.0000  3 Cd 2.95-3.28, 1 Pb 3.22
Pb 0.7424 0.7424 0.1317  2 Cd 3.10-3.13, 5 Pb 3.22-3.39, 1 Bi 3.35
Pb 0.9969 0.5072 0.6723  3 Cd 3.20-3.42, 1 Bi 3.30, 3 Pb 3.36-3.58

Values from the calculation:
N(E_F) (states/eV per cell): 7.18
Formation energy from the elements (meV/atom): 139
Density (g cm⁻³): 9.0

---

Cd3Os2 | PBE | relaxed

Unit cell a=2.8733 b=2.8733 c=36.8107 alpha=90.00 beta=90.00 gamma=120.00
Closest atoms and distances in Å follow each position.
Element x y z (fractional)
Cd 0.0000 0.0000 0.0000  6 Cd 2.87, 6 Os 2.88
Cd 0.0000 0.0000 0.2042  6 Cd 2.87, 3 Os 2.91
Cd 0.0000 0.0000 0.7958  6 Cd 2.87, 3 Os 2.91
Cd 0.3333 0.6667 0.4625  6 Cd 2.87, 3 Os 2.91
Cd 0.3333 0.6667 0.6667  6 Cd 2.87, 6 Os 2.88
Cd 0.3333 0.6667 0.8709  6 Cd 2.87, 3 Os 2.91
Cd 0.6667 0.3333 0.1291  6 Cd 2.87, 3 Os 2.91
Cd 0.6667 0.3333 0.3333  6 Cd 2.87, 6 Os 2.88
Cd 0.6667 0.3333 0.5375  6 Cd 2.87, 3 Os 2.91
Os 0.0000 0.0000 0.3974  6 Os 2.87, 6 Cd 2.88-2.91
Os 0.0000 0.0000 0.6026  6 Os 2.87, 6 Cd 2.88-2.91
Os 0.3333 0.6667 0.0641  6 Os 2.87, 6 Cd 2.88-2.91
Os 0.3333 0.6667 0.2692  6 Os 2.87, 6 Cd 2.88-2.91
Os 0.6667 0.3333 0.7308  6 Os 2.87, 6 Cd 2.88-2.91
Os 0.6667 0.3333 0.9359  6 Os 2.87, 6 Cd 2.88-2.91

Values from the calculation:
N(E_F) (states/eV per cell): 14.45
Formation energy from the elements (meV/atom): 585
Density (g cm⁻³): 13.6

---

Sr2BeW | PBE | relaxed

Unit cell a=4.4739 b=4.4739 c=4.8104 alpha=90.00 beta=90.00 gamma=90.00
Closest atoms and distances in Å follow each position.
Element x y z (fractional)
Sr 0.0000 0.5000 0.0000  4 Sr 3.16, 4 W 3.28, 4 Be 3.28
Sr 0.5000 0.0000 0.0000  4 Sr 3.16, 4 W 3.28, 4 Be 3.28
Be 0.0000 0.0000 0.5000  4 W 3.16, 8 Sr 3.28
W 0.5000 0.5000 0.5000  4 Be 3.16, 8 Sr 3.28

Values from the calculation:
N(E_F) (states/eV per cell): 4.18
Formation energy from the elements (meV/atom): 1377
Density (g cm⁻³): 6.3

---

Tb6Sm3Dy2Ho | PBE | relaxed

Unit cell a=6.1830 b=6.1830 c=11.8336 alpha=94.98 beta=94.98 gamma=119.97
Closest atoms and distances in Å follow each position.
Element x y z (fractional)
Tb 0.0838 0.4170 0.7526  2 Dy 3.54-3.55, 1 Ho 3.55, 6 Tb 3.57, 3 Sm 3.59
Tb 0.2498 0.2498 0.2475  1 Ho 3.54, 2 Dy 3.55, 6 Tb 3.57, 3 Sm 3.59
Tb 0.4170 0.0838 0.7526  2 Dy 3.54-3.55, 1 Ho 3.55, 6 Tb 3.57, 3 Sm 3.59
Tb 0.5830 0.9162 0.2474  2 Dy 3.54-3.55, 1 Ho 3.55, 6 Tb 3.57, 3 Sm 3.59
Tb 0.7502 0.7502 0.7525  1 Ho 3.54, 2 Dy 3.55, 6 Tb 3.57, 3 Sm 3.59
Tb 0.9162 0.5830 0.2474  2 Dy 3.54-3.55, 1 Ho 3.55, 6 Tb 3.57, 3 Sm 3.59
Sm 0.0000 0.0000 0.5000  6 Sm 3.57, 6 Tb 3.59
Sm 0.3333 0.6667 0.5000  6 Sm 3.57, 6 Tb 3.59
Sm 0.6667 0.3333 0.5000  6 Sm 3.57, 6 Tb 3.59
Dy 0.1666 0.8334 0.0000  6 Tb 3.54-3.55, 3 Dy 3.57, 3 Ho 3.57
Dy 0.8334 0.1666 0.0000  6 Tb 3.54-3.55, 3 Dy 3.57, 3 Ho 3.57
Ho 0.5000 0.5000 0.0000  6 Tb 3.54-3.55, 6 Dy 3.57

Values from the calculation:
N(E_F) (states/eV per cell): 15.43
Formation energy from the elements (meV/atom): 15
Density (g cm⁻³): 8.2